# 1
Material: LaIn2Au
Method: DFT, PBE-GGA
State: optimized geometry

Cell: 3.7244 3.7244 7.4947 Å, 90.00 90.00 90.00°
Last column: nearest neighbours and their distance in Å.
Space group P4mm (No. 99)
Inequivalent atoms, fractional coordinates:
La 0.0000 0.0000 0.0000  4 Au 3.20, 5 In 3.42-3.47
In 0.0000 0.0000 0.4570  4 Au 3.08, 4 In 3.19, 1 La 3.42
In 0.5000 0.5000 0.6979  4 In 3.19, 1 Au 3.41, 4 La 3.47
Au 0.5000 0.5000 0.2428  5 In 3.08-3.41, 4 La 3.20

Properties
energy of formation from the pure elements	-0.43	eV per atom
spin magnetization	0.12	μB per formula unit
calculated density	9.03	g cm⁻³
VASP energy	-0.1414	Ha/atom
N(E_F)	3.082	states/eV per cell

# 2
Material: Rb5IrCl2O4
Method: DFT, PBE-GGA
State: optimized geometry

Cell: 8.8684 10.2156 7.1691 Å, 90.00 90.00 90.00°
Last column: nearest neighbours and their distance in Å.
Space group Amm2 (No. 38)
Inequivalent atoms, fractional coordinates:
Rb 0.0000 0.0000 0.0000  2 O 2.99, 4 Cl 3.16-3.23
Rb 0.2970 0.1914 0.4151  3 O 2.92-3.14, 1 Cl 3.22
Ir 0.5000 0.0000 0.9226  4 O 1.85-1.93
Cl 0.0000 0.2073 0.6721  6 Rb 3.16-3.32
O 0.3313 0.0000 0.0748  1 Ir 1.85
O 0.5000 0.1279 0.7247  1 Ir 1.93

Properties
spin magnetization	0.00	μB per formula unit
calculated density	3.86	g cm⁻³
VASP energy	-0.1623	Ha/atom
E_form (uncorrected)	-1.31	eV/atom

# 3
Material: NbTlIrPt2
Method: DFT, PBE-GGA
State: optimized geometry

Cell: 4.8440 4.8440 5.0051 Å, 90.00 90.00 90.00°
Last column: nearest neighbours and their distance in Å.
Space group P4/mmm (No. 123)
Inequivalent atoms, fractional coordinates:
Nb 0.0000 0.0000 0.0000  4 Tl 3.43, 8 Pt 3.48
Tl 0.5000 0.5000 0.0000  2 Ir 2.50
Ir 0.5000 0.5000 0.5000  4 Pt 2.42, 2 Tl 2.50
Pt 0.0000 0.5000 0.5000  2 Ir 2.42

Properties
energy of formation from the pure elements	1.40	eV per atom
spin magnetization	0.00	μB per formula unit
calculated density	12.44	g cm⁻³
VASP energy	-0.1937	Ha/atom
N(E_F)	11.977	states/eV per cell

# 4
Material: Be2CrCl
Method: DFT, PBE-GGA
State: optimized geometry

Cell: 9.3354 2.8781 3.9533 Å, 90.00 114.87 90.00°
Last column: nearest neighbours and their distance in Å.
Space group C2/m (No. 12)
Inequivalent atoms, fractional coordinates:
Be 0.2461 0.0000 0.2469  4 Be 2.44-2.45, 2 Cl 2.53, 2 Cr 2.59
Cr 0.0000 0.0000 0.5000  4 Cl 2.44, 4 Be 2.59
Cl 0.0000 0.5000 0.0000  4 Cr 2.44, 4 Be 2.53

Properties
spin magnetization	2.73	μB per formula unit
calculated density	3.63	g cm⁻³
VASP energy	-0.1524	Ha/atom
E_form (uncorrected)	0.58	eV/atom
N(E_F)	4.060	states/eV per cell
relative energy among the computed polymorphs	151	kJ/mol of formula units